--- 1 ---
DFT (PBE) results for SiAg2Au8 after structural relaxation.

Output
- Crystal system: monoclinic
- Space group: C2/m, No. 12
- Magnetization: 0.0 Bohr magnetons per cell

Cell lengths 5.118, 6.819, 6.819 Å; angles 82.94, 74.91, 74.91 degrees
Fractional coordinates of all 11 atoms:
Si 0.000 0.000 0.000
Ag 0.496 0.143 0.143
Ag 0.504 0.857 0.857
Au 0.807 0.156 0.691
Au 0.193 0.309 0.844
Au 0.908 0.270 0.270
Au 0.092 0.730 0.730
Au 0.807 0.691 0.156
Au 0.193 0.844 0.309
Au 0.299 0.429 0.429
Au 0.701 0.571 0.571

=====

--- 2 ---
DFT (PBE) results for SiAg2Au8 after structural relaxation.

Output
- Crystal system: monoclinic
- Space group: Cm, No. 8
- Magnetization: 0.0 Bohr magnetons per cell

Cell lengths 4.789, 7.982, 7.982 Å; angles 121.91, 107.89, 107.89 degrees
Fractional coordinates of all 11 atoms:
Si 0.366 0.004 0.004
Ag 0.469 0.690 0.317
Ag 0.469 0.317 0.690
Au 0.731 0.397 0.136
Au 0.731 0.136 0.397
Au 0.192 0.253 0.253
Au 0.969 0.194 0.815
Au 0.969 0.815 0.194
Au 0.683 0.740 0.740
Au 0.211 0.873 0.613
Au 0.211 0.613 0.873

=====

List of relative energies, unit eV/atom: 1 0.119; 2 0.000

=====

--- 1 ---
DFT (PBE) results for SiAg3Au after structural relaxation.

Output
- Crystal system: cubic
- Space group: Pm-3m, No. 221
- Magnetization: 0.0 Bohr magnetons per cell

Cell lengths 5.108, 5.108, 5.108 Å; angles 90.00, 90.00, 90.00 degrees
Fractional coordinates of all 5 atoms:
Si 0.500 0.500 0.500
Au 0.000 0.000 0.000
Ag 0.000 0.500 0.000
Ag 0.000 0.000 0.500
Ag 0.500 0.000 0.000

=====

--- 2 ---
DFT (PBE) results for SiAg3Au after structural relaxation.

Output
- Crystal system: cubic
- Space group: Pm-3m, No. 221
- Magnetization: 0.0 Bohr magnetons per cell

Cell lengths 4.742, 4.742, 4.742 Å; angles 90.00, 90.00, 90.00 degrees
Fractional coordinates of all 5 atoms:
Si 0.000 0.000 0.000
Au 0.500 0.500 0.500
Ag 0.000 0.500 0.000
Ag 0.000 0.000 0.500
Ag 0.500 0.000 0.000

=====

List of relative energies, unit eV/atom: 1 0.460; 2 0.000

=====

--- 1 ---
DFT (PBE) results for Si2Ag2Au after structural relaxation.

Output
- Crystal system: tetragonal
- Space group: P4/mbm, No. 127
- Magnetization: 0.0 Bohr magnetons per cell

Cell lengths 6.307, 6.307, 4.449 Å; angles 90.00, 90.00, 90.00 degrees
Fractional coordinates of all 10 atoms:
Si 0.370 0.870 0.000
Si 0.870 0.630 0.000
Si 0.630 0.130 0.000
Si 0.130 0.370 0.000
Au 0.000 0.000 0.000
Au 0.500 0.500 0.000
Ag 0.197 0.697 0.500
Ag 0.697 0.803 0.500
Ag 0.803 0.303 0.500
Ag 0.303 0.197 0.500

=====

--- 2 ---
DFT (PBE) results for Si2Ag2Au after structural relaxation.

Output
- Crystal system: tetragonal
- Space group: I4/mmm, No. 139
- Magnetization: 0.0 Bohr magnetons per cell

Cell lengths 3.969, 3.969, 6.386 Å; angles 71.89, 71.89, 90.00 degrees
Fractional coordinates of all 5 atoms:
Si 0.403 0.403 0.194
Si 0.597 0.597 0.806
Au 0.000 0.000 0.000
Ag 0.750 0.250 0.500
Ag 0.250 0.750 0.500

=====

List of relative energies, unit eV/atom: 1 0.000; 2 0.254

=====

--- 1 ---
DFT (PBE) results for SmAgAu2 after structural relaxation.

Output
- Crystal system: tetragonal
- Space group: P4/mmm, No. 123
- Magnetization: 0.0 Bohr magnetons per cell

Cell lengths 3.975, 4.669, 4.669 Å; angles 90.00, 90.00, 90.00 degrees
Fractional coordinates of all 4 atoms:
Au 0.000 0.000 0.500
Au 0.000 0.500 0.000
Ag 0.500 0.000 0.000
Sm 0.500 0.500 0.500

=====

--- 2 ---
DFT (PBE) results for SmAgAu2 after structural relaxation.

Output
- Crystal system: cubic
- Space group: Fm-3m, No. 225
- Magnetization: 0.0 Bohr magnetons per cell

Cell lengths 4.956, 4.956, 4.956 Å; angles 60.00, 60.00, 60.00 degrees
Fractional coordinates of all 4 atoms:
Au 0.750 0.750 0.750
Au 0.250 0.250 0.250
Ag 0.500 0.500 0.500
Sm 0.000 0.000 0.000

=====

List of relative energies, unit eV/atom: 1 0.158; 2 0.000

=====

--- 1 ---
DFT (PBE) results for Sm4Ag3Au after structural relaxation.

Output
- Crystal system: tetragonal
- Space group: P4/mmm, No. 123
- Magnetization: 0.0 Bohr magnetons per cell

Cell lengths 3.699, 3.699, 14.820 Å; angles 90.00, 90.00, 90.00 degrees
Fractional coordinates of all 8 atoms:
Au 0.500 0.500 0.000
Ag 0.500 0.500 0.250
Ag 0.500 0.500 0.500
Ag 0.500 0.500 0.750
Sm 0.000 0.000 0.879
Sm 0.000 0.000 0.121
Sm 0.000 0.000 0.374
Sm 0.000 0.000 0.626

=====

--- 2 ---
DFT (PBE) results for Sm4Ag3Au after structural relaxation.

Output
- Crystal system: orthorhombic
- Space group: Pmm2, No. 25
- Magnetization: 0.0 Bohr magnetons per cell

Cell lengths 3.843, 4.868, 11.185 Å; angles 90.00, 90.00, 90.00 degrees
Fractional coordinates of all 8 atoms:
Sm 0.500 0.500 0.356
Sm 0.000 0.500 0.863
Sm 0.000 0.000 0.140
Sm 0.500 0.000 0.641
Ag 0.000 0.500 0.579
Ag 0.000 0.000 0.420
Ag 0.500 0.000 0.919
Au 0.500 0.500 0.082

=====

List of relative energies, unit eV/atom: 1 0.000; 2 0.013

=====

--- 1 ---
DFT (PBE) results for Sm4AgAu2 after structural relaxation.

Output
- Crystal system: trigonal
- Space group: R-3m, No. 166
- Magnetization: 0.0 Bohr magnetons per cell

Cell lengths 4.942, 4.942, 10.042 Å; angles 75.75, 75.75, 60.00 degrees
Fractional coordinates of all 7 atoms:
Sm 0.704 0.704 0.888
Sm 0.881 0.881 0.357
Sm 0.296 0.296 0.112
Sm 0.119 0.119 0.643
Ag 0.500 0.500 0.500
Au 0.599 0.599 0.204
Au 0.401 0.401 0.796

=====

--- 2 ---
DFT (PBE) results for Sm4AgAu2 after structural relaxation.

Output
- Crystal system: tetragonal
- Space group: I4/mmm, No. 139
- Magnetization: 0.0 Bohr magnetons per cell

Cell lengths 6.319, 6.319, 6.319 Å; angles 108.67, 109.87, 109.87 degrees
Fractional coordinates of all 7 atoms:
Au 0.500 0.500 0.000
Au 0.500 0.000 0.500
Ag 0.000 0.000 0.000
Sm 0.500 0.000 0.000
Sm 0.500 0.500 0.500
Sm 0.000 0.000 0.500
Sm 0.000 0.500 0.000

=====

List of relative energies, unit eV/atom: 1 0.068; 2 0.000